Entry a
Material: KMgN2F
Method: DFT, GGA-PBE
State: optimized geometry

volume: 78 Å³/f.u.

Unit cell a=4.353 b=4.353 c=4.134 alpha=90.00 beta=90.00 gamma=90.00
Sites, in units of the cell vectors:
K (0.000, 0.000, 0.000)
Mg (0.500, 0.500, 0.500)
N (0.000, 0.500, 0.500)
N (0.500, 0.000, 0.500)
F (0.500, 0.500, 0.000)

Entry b
Material: KMgN2F
Method: DFT, GGA-PBE
State: optimized geometry

volume: 110 Å³/f.u.

Unit cell a=4.913 b=4.913 c=4.572 alpha=90.00 beta=90.00 gamma=90.00
Sites, in units of the cell vectors:
K (0.000, 0.000, 0.000)
Mg (0.500, 0.500, 0.500)
N (0.000, 0.500, 0.000)
N (0.500, 0.000, 0.000)
F (0.000, 0.000, 0.500)

The most stable of them is entry a.